1.
# Ag2Bi2Br GGA-PBEsol optimized geometry
data_Ag2Bi2Br
_space_group_name_H-M_alt 'I 4/m m m'
_space_group_IT_number 139
_space_group_name_Hall '-I 4 2'
_cell_length_a 3.822
_cell_length_b 3.822
_cell_length_c 17.149
_cell_angle_alpha 90.00
_cell_angle_beta 90.00
_cell_angle_gamma 90.00
loop_
_atom_site_label
_atom_site_type_symbol
_atom_site_fract_x
_atom_site_fract_y
_atom_site_fract_z
Ag1 Ag 0.000 0.500 0.250
Bi1 Bi 0.000 0.000 0.116
Br1 Br 0.000 0.000 0.500
# Electronic total energy in eV for the cell shown: -33.67
# Formation energy without anion corrections in eV per atom: 0.046


2.
# ReSe2Br GGA-PBEsol optimized geometry
data_ReSe2Br
_space_group_name_H-M_alt 'I -4 m 2'
_space_group_IT_number 119
_space_group_name_Hall 'I -4 -2'
_cell_length_a 4.404
_cell_length_b 4.404
_cell_length_c 7.093
_cell_angle_alpha 90.00
_cell_angle_beta 90.00
_cell_angle_gamma 90.00
loop_
_atom_site_label
_atom_site_type_symbol
_atom_site_fract_x
_atom_site_fract_y
_atom_site_fract_z
Re1 Re 0.000 0.000 0.000
Se1 Se 0.000 0.000 0.500
Se2 Se 0.000 0.500 0.750
Br1 Br 0.000 0.500 0.250
# Electronic total energy in eV for the cell shown: -38.10
# Formation energy without anion corrections in eV per atom: 0.964
# Polymorph energy (0 for the lowest one) in kJ per mole of atoms: 78.94


3.
# Ni2Sb2P GGA-PBEsol optimized geometry
data_Ni2Sb2P
_space_group_name_H-M_alt 'P 63/m m c'
_space_group_IT_number 194
_space_group_name_Hall '-P 6c 2c'
_cell_length_a 3.5685
_cell_length_b 3.5685
_cell_length_c 15.5483
_cell_angle_alpha 90.00
_cell_angle_beta 90.00
_cell_angle_gamma 120.00
loop_
_atom_site_label
_atom_site_type_symbol
_atom_site_fract_x
_atom_site_fract_y
_atom_site_fract_z
Ni1 Ni 0.0000 0.0000 0.1756
Sb1 Sb 0.3333 0.6667 0.0819
P1 P 0.3333 0.6667 0.7500
# Electronic total energy in eV for the cell shown: -57.06
# Formation energy without anion corrections in eV per atom: -0.262


4.
# Nb2Se GGA-PBEsol optimized geometry
data_Nb2Se
_space_group_name_H-M_alt 'C 1 2/m 1'
_space_group_IT_number 12
_cell_length_a 13.908
_cell_length_b 3.399
_cell_length_c 9.270
_cell_angle_alpha 90.00
_cell_angle_beta 92.38
_cell_angle_gamma 90.00
loop_
_space_group_symop_operation_xyz
'x,y,z'
'-x,-y,-z'
'-x,y,-z'
'x,-y,z'
'x+1/2,y+1/2,z'
'-x+1/2,-y+1/2,-z'
'-x+1/2,y+1/2,-z'
'x+1/2,-y+1/2,z'
loop_
_atom_site_label
_atom_site_type_symbol
_atom_site_fract_x
_atom_site_fract_y
_atom_site_fract_z
Nb1 Nb 0.084 0.000 0.397
Nb2 Nb 0.086 0.500 0.647
Nb3 Nb 0.216 0.000 0.124
Nb4 Nb 0.243 0.500 0.377
Se1 Se 0.074 0.500 0.182
Se2 Se 0.139 0.000 0.861
# Electronic total energy in eV for the cell shown: -217.50
# Formation energy without anion corrections in eV per atom: -0.565


5.
# LaTa2Rh GGA-PBEsol optimized geometry
data_LaTa2Rh
_space_group_name_H-M_alt 'C 1 2/m 1'
_space_group_IT_number 12
_cell_length_a 10.910
_cell_length_b 2.965
_cell_length_c 5.051
_cell_angle_alpha 90.00
_cell_angle_beta 104.79
_cell_angle_gamma 90.00
loop_
_space_group_symop_operation_xyz
'x,y,z'
'-x,-y,-z'
'-x,y,-z'
'x,-y,z'
'x+1/2,y+1/2,z'
'-x+1/2,-y+1/2,-z'
'-x+1/2,y+1/2,-z'
'x+1/2,-y+1/2,z'
loop_
_atom_site_label
_atom_site_type_symbol
_atom_site_fract_x
_atom_site_fract_y
_atom_site_fract_z
La1 La 0.000 0.000 0.000
Ta1 Ta 0.217 0.000 0.705
Rh1 Rh 0.000 0.500 0.500
# E_form in eV/atom: 0.122
# Electronic total energy in eV for the cell shown: -76.20
# Polymorph energy (0 for the lowest one) in kJ per mole of atoms: 16.24


6.
# NbFeSe2 GGA-PBEsol optimized geometry
data_NbFeSe2
_space_group_name_H-M_alt 'R -3 m'
_space_group_IT_number 166
_space_group_name_Hall '-R 3 2"'
_cell_length_a 3.0878
_cell_length_b 3.0878
_cell_length_c 24.7011
_cell_angle_alpha 90.00
_cell_angle_beta 90.00
_cell_angle_gamma 120.00
loop_
_atom_site_label
_atom_site_type_symbol
_atom_site_fract_x
_atom_site_fract_y
_atom_site_fract_z
Nb1 Nb 0.0000 0.0000 0.0000
Fe1 Fe 0.0000 0.0000 0.5000
Se1 Se 0.0000 0.0000 0.1041
# Electronic total energy in eV for the cell shown: -81.95
# Formation energy without anion corrections in eV per atom: 0.042


no.,magnetic moment (μB per cell)
1,0.00
2,0.00
3,0.00
4,0.00
5,0.00
6,3.92